Here is crystalline Lu2NiO at its relaxed geometry from Alexandria via LeMat-Bulk. Energies are from GGA+U.

CIF file:
```
data_Lu2NiO
_cell_length_a 3.2351
_cell_length_b 3.2351
_cell_length_c 22.9816
_cell_angle_alpha 90.00
_cell_angle_beta 90.00
_cell_angle_gamma 120.00
_symmetry_space_group_name_H-M 'R -3 m'
_symmetry_Int_Tables_number 166
_symmetry_space_group_name_Hall '-R 3 2"'
loop_
_atom_site_label
_atom_site_fract_x
_atom_site_fract_y
_atom_site_fract_z
_atom_site_occupancy
Lu1 0.0000 0.0000 0.1054 1
Ni1 0.0000 0.0000 0.0000 1
O1 0.0000 0.0000 0.5000 1
```

Calculated values
magnetization	0.00	μB/f.u.
VASP energy	-57.7	eV per cell